(1)
Entry from Alexandria via LeMat-Bulk: a PBEsol-optimized structure of Be2GaSb2 (SCAN).

Cell lengths 7.7930, 7.7930, 7.7930 Å; angles 152.87, 152.87, 38.75 degrees
Sites, in units of the cell vectors:
Be 0.2500 0.7500 0.5000
Be 0.7500 0.2500 0.5000
Ga 0.0000 0.0000 0.0000
Sb 0.3666 0.3666 0.0000
Sb 0.6334 0.6334 0.0000

## Properties
ΔE_f (raw): 0.283 eV per atom
Space-group type: I4/mmm



(2)
Entry from Alexandria via LeMat-Bulk: a PBEsol-optimized structure of Be2GaTcSb (SCAN).

Cell lengths 4.1372, 4.1372, 4.7347 Å; angles 90.00, 90.00, 90.00 degrees
Sites, in units of the cell vectors:
Be 0.0000 0.5000 0.0000
Be 0.5000 0.0000 0.0000
Ga 0.0000 0.0000 0.0000
Tc 0.0000 0.0000 0.5000
Sb 0.5000 0.5000 0.5000

## Properties
ΔE_f (raw): 0.898 eV per atom
Space-group type: P4/mmm



(3)
Entry from Alexandria via LeMat-Bulk: a PBEsol-optimized structure of Sc2BeGa (SCAN).

Cell lengths 4.5637, 4.5637, 4.5637 Å; angles 60.00, 60.00, 60.00 degrees
Sites, in units of the cell vectors:
Sc 0.2500 0.2500 0.2500
Sc 0.7500 0.7500 0.7500
Be 0.0000 0.0000 0.0000
Ga 0.5000 0.5000 0.5000

## Properties
E_form: -0.394 eV per atom
Space-group type: Fm-3m



(4)
Entry from Alexandria via LeMat-Bulk: a PBEsol-optimized structure of Be3GaSe (SCAN).

Cell lengths 4.2840, 4.2840, 4.2840 Å; angles 90.00, 90.00, 90.00 degrees
Sites, in units of the cell vectors:
Be 0.0000 0.0000 0.5000
Be 0.0000 0.5000 0.0000
Be 0.5000 0.0000 0.0000
Ga 0.5000 0.5000 0.5000
Se 0.0000 0.0000 0.0000

## Properties
ΔE_f (raw): 0.925 eV per atom
Space-group type: Pm-3m



| no. | size of the total moment (Bohr magnetons per cell) |
| --- | --- |
| 1 | 0.00 |
| 2 | 0.00 |
| 3 | 0.00 |
| 4 | 0.00 |